A geometry-optimized Al3ZnH structure, computed with PBE-GGA.

Cell and atoms, written as extended XYZ:
```
5
Lattice="4.7522 0.0000 0.0000 0.0000 4.7522 0.0000 0.0000 0.0000 4.7522" Properties=species:S:1:pos:R:3 pbc="T T T"
Al 0.0000 0.0000 2.3761
Al 0.0000 2.3761 0.0000
Al 2.3761 0.0000 0.0000
Zn 0.0000 0.0000 0.0000
H 2.3761 2.3761 2.3761
```

For the total magnetization, the calculation gives 0.0 μB/f.u. Its space-group type is Pm-3m, No. 221. For the total energy, the calculation gives -2.272 eV per atom.